Material: TaHF6
Method: DFT, GGA-PBE
State: optimized geometry

```
TaHF6
1.0
-2.563 -0.439 -4.542
-1.642 -4.933 -1.266
-6.510 -1.979 -1.413
Ta F H
1 6 1
Direct
0.000 0.000 0.000
0.755 0.603 0.290
0.605 0.219 0.195
0.395 0.781 0.805
0.143 0.897 0.230
0.245 0.397 0.710
0.857 0.103 0.770
0.500 0.500 0.500
```

E_tot (eV per atom): -6.08
Crystal system: triclinic
Space-group type: P-1 (2)

=====

Material: Pm3GaPt3
Method: DFT, GGA-PBE
State: optimized geometry

```
Pm3GaPt3
1.0
5.817 0.000 0.000
0.000 8.717 0.000
0.000 -4.359 7.549
Pt Pm Ga
6 6 2
Direct
0.250 0.680 0.629
0.750 0.051 0.680
0.750 0.320 0.371
0.250 0.371 0.051
0.750 0.629 0.949
0.250 0.949 0.320
0.750 0.696 0.652
0.750 0.348 0.045
0.250 0.652 0.955
0.250 0.045 0.696
0.750 0.955 0.304
0.250 0.304 0.348
0.250 0.667 0.333
0.750 0.333 0.667
```

E_tot (eV per atom): -5.93
Crystal system: hexagonal
Space-group type: P6_3/m (176)

=====

Material: NpUSi2
Method: DFT, GGA-PBE
State: optimized geometry

```
NpUSi2
1.0
4.853 0.000 0.000
2.427 4.203 0.000
2.427 1.401 3.967
U Si Np
1 2 1
Direct
0.500 0.500 0.500
0.750 0.750 0.750
0.250 0.250 0.250
0.000 0.000 0.000
```

Uncorrected formation energy (eV per atom): -0.0046
Crystal system: cubic
Space-group type: Fm-3m (225)

=====

Material: EuNbGa2
Method: DFT, GGA-PBE
State: optimized geometry

```
EuNbGa2
1.0
-3.071 0.690 0.156
-1.429 0.203 2.801
0.641 9.734 1.394
Ga Nb Eu
2 1 1
Direct
0.742 0.742 0.774
0.258 0.258 0.226
0.000 0.000 0.000
0.500 0.500 0.500
```

E_tot (eV per atom): -6.63
Crystal system: trigonal
Space-group type: R-3m (166)

=====

Material: B5C7
Method: DFT, GGA-PBE
State: optimized geometry

```
B5C7
1.0
4.370 0.051 -5.725
-0.051 2.633 -6.695
-0.121 -0.050 7.193
B C
5 7
Direct
0.074 0.012 0.062
0.131 0.781 0.349
0.563 0.281 0.283
0.568 0.951 0.616
0.005 0.348 0.656
0.495 0.160 0.334
0.114 0.125 0.989
0.623 0.623 0.001
0.527 0.836 0.691
0.137 0.463 0.674
0.520 0.506 0.015
0.993 0.662 0.331
```

E_tot (eV per atom): -7.79
Crystal system: monoclinic
Space-group type: Cm (8)

=====

Material: SrCa2Bi2
Method: DFT, GGA-PBE
State: optimized geometry

```
SrCa2Bi2
1.0
5.105 0.002 0.001
2.552 4.422 0.001
2.551 1.474 8.530
Bi Ca Sr
2 2 1
Direct
0.589 0.089 0.233
0.411 0.911 0.767
0.215 0.715 0.355
0.785 0.285 0.645
0.000 0.500 0.000
```

E_tot (eV per atom): -3.38
Crystal system: trigonal
Space-group type: R-3m (166)

=====

Number 1: magnetization 0.00 μB/atom. Number 2: magnetization 0.00 μB/atom. Number 3: magnetization 1.68 μB/atom. Number 4: magnetization 1.83 μB/atom. Number 5: magnetization 0.00 μB/atom. Number 6: magnetization 0.00 μB/atom.